(1)
Computed, not measured: a geometry-optimized UCo4P2 structure at the PBE-GGA level of DFT.

Lattice parameters (Å, degrees): 7.0340 7.0340 3.5675 90.00 90.00 90.00
Closest atoms and distances in Å follow each position.
Atoms (fractional coordinates):
U 0.0000 0.0000 0.0000  6 P 2.77-2.83, 8 Co 3.04
U 0.5000 0.5000 0.5000  6 P 2.77-2.83, 8 Co 3.04
Co 0.0847 0.3404 0.5000  3 P 2.29-2.31, 6 Co 2.53-2.54
Co 0.1596 0.5847 0.0000  3 P 2.29-2.31, 6 Co 2.53-2.54
Co 0.3404 0.0847 0.5000  3 P 2.29-2.31, 6 Co 2.53-2.54
Co 0.4153 0.8404 0.0000  3 P 2.29-2.31, 6 Co 2.53-2.54
Co 0.5847 0.1596 0.0000  3 P 2.29-2.31, 6 Co 2.53-2.54
Co 0.6596 0.9153 0.5000  3 P 2.29-2.31, 6 Co 2.53-2.54
Co 0.8404 0.4153 0.0000  3 P 2.29-2.31, 6 Co 2.53-2.54
Co 0.9153 0.6596 0.5000  3 P 2.29-2.31, 6 Co 2.53-2.54
P 0.2213 0.7787 0.5000  6 Co 2.29-2.31
P 0.2787 0.2787 0.0000  6 Co 2.29-2.31
P 0.7213 0.7213 0.0000  6 Co 2.29-2.31
P 0.7787 0.2213 0.5000  6 Co 2.29-2.31

Output
Total magnetic moment   2.88 μB/f.u.
Fermi-level density of states   11.36 states/eV/f.u.
Symmetry   P4_2/mnm
Theoretical density   10.08 g/cm3
Calculated total energy   -7.8299 eV/atom
Calculated volume   176.5 Å³ per cell

=====

(2)
Computed, not measured: a geometry-optimized TaReSi structure at the PBE-GGA level of DFT.

Lattice parameters (Å, degrees): 6.8781 6.8781 3.2915 90.00 90.00 120.00
Closest atoms and distances in Å follow each position.
Atoms (fractional coordinates):
Ta 0.0000 0.5990 0.0000  5 Si 2.67-2.76, 6 Re 2.85-2.93
Ta 0.4010 0.4010 0.0000  5 Si 2.67-2.76, 6 Re 2.85-2.93
Ta 0.5990 0.0000 0.0000  5 Si 2.67-2.76, 6 Re 2.85-2.93
Re 0.0000 0.2604 0.5000  4 Si 2.43-2.58
Re 0.2604 0.0000 0.5000  4 Si 2.43-2.58
Re 0.7396 0.7396 0.5000  4 Si 2.43-2.58
Si 0.0000 0.0000 0.0000  6 Re 2.43
Si 0.3333 0.6667 0.5000  3 Re 2.58, 6 Ta 2.67
Si 0.6667 0.3333 0.5000  3 Re 2.58, 6 Ta 2.67

Output
Total magnetic moment   0.00 μB/f.u.
Fermi-level density of states   1.93 states/eV/f.u.
ΔE_f (raw)   -483 meV/atom
Symmetry   P-62m
Theoretical density   14.60 g/cm3
Calculated total energy   -10.3907 eV/atom
Calculated volume   134.9 Å³ per cell

=====

(3)
Computed, not measured: a geometry-optimized Sr3Ac4Pd4 structure at the PBE-GGA level of DFT.

Lattice parameters (Å, degrees): 10.2561 10.2561 10.2561 156.49 122.01 63.45
Closest atoms and distances in Å follow each position.
Atoms (fractional coordinates):
Sr 0.0000 0.0000 0.0000  4 Pd 3.50
Sr 0.4000 0.9000 0.5000  6 Pd 3.43-3.48, 1 Sr 3.49
Sr 0.6000 0.1000 0.5000  6 Pd 3.43-3.48, 1 Sr 3.49
Ac 0.0245 0.3352 0.6892  3 Pd 3.02-3.13
Ac 0.3540 0.6648 0.6892  3 Pd 3.02-3.13
Ac 0.6460 0.3352 0.3108  3 Pd 3.02-3.13
Ac 0.9755 0.6648 0.3108  3 Pd 3.02-3.13
Pd 0.2438 0.2438 0.0000  6 Ac 3.13-3.48, 2 Sr 3.43
Pd 0.2818 0.5000 0.7818  2 Ac 3.02
Pd 0.7182 0.5000 0.2182  2 Ac 3.02
Pd 0.7562 0.7562 0.0000  6 Ac 3.13-3.48, 2 Sr 3.43

Output
Total magnetic moment   0.00 μB/f.u.
Fermi-level density of states   8.31 states/eV/f.u.
Symmetry   Immm
Theoretical density   7.31 g/cm3
Calculated total energy   -4.2992 eV/atom
Calculated volume   362.5 Å³ per cell

=====

(4)
Computed, not measured: a geometry-optimized CsSiGe structure at the PBE-GGA level of DFT.

Lattice parameters (Å, degrees): 8.0814 8.0814 7.0182 107.79 107.79 27.56
Closest atoms and distances in Å follow each position.
Atoms (fractional coordinates):
Cs 0.0990 0.0990 0.3163  3 Si 3.66-3.68, 2 Cs 3.85, 6 Ge 3.95-4.05
Cs 0.9010 0.9010 0.6837  3 Si 3.66-3.68, 2 Cs 3.85, 6 Ge 3.95-4.05
Si 0.2365 0.2365 0.8457  3 Ge 2.48-2.52
Si 0.7635 0.7635 0.1543  3 Ge 2.48-2.52
Ge 0.3673 0.3673 0.1567  3 Si 2.48-2.52
Ge 0.6327 0.6327 0.8433  3 Si 2.48-2.52

Output
Total magnetic moment   0.00 μB/f.u.
Fermi-level density of states   0.33 states/eV/f.u.
ΔE_f (raw)   -23 meV/atom
Symmetry   C2/m
Theoretical density   3.85 g/cm3
Calculated total energy   -3.6547 eV/atom
Calculated volume   201.3 Å³ per cell